An optimized crystal structure of ScSbW2. Source: Alexandria via LeMat-Bulk, functional PBE-GGA.

Geometry as CIF:
```
data_ScSbW2
_chemical_formula_sum 'Sc1 Sb1 W2'
_cell_length_a 9.212
_cell_length_b 9.212
_cell_length_c 9.212
_cell_angle_alpha 19.51
_cell_angle_beta 19.51
_cell_angle_gamma 19.51
_space_group_name_H-M_alt 'P 1'
_space_group_IT_number 1
loop_
_space_group_symop_operation_xyz
'x,y,z'
loop_
_atom_site_label
_atom_site_type_symbol
_atom_site_fract_x
_atom_site_fract_y
_atom_site_fract_z
Sc1 Sc 0.000 0.000 0.000
Sb1 Sb 0.500 0.500 0.500
W1 W 0.246 0.246 0.246
W2 W 0.754 0.754 0.754
```

Calculated values
- SG: R-3m (166)
- Magnetization: 0.00 Bohr magnetons per cell
- Energy: -8.4695 eV per atom
- Uncorrected formation energy: 0.621 eV/atom
- Crystal system: trigonal
- Calculated volume: 76.2 Å³/cell

An optimized crystal structure of ScSbW2. Source: Alexandria via LeMat-Bulk, functional PBE-GGA.

Geometry as CIF:
```
data_ScSbW2
_chemical_formula_sum 'Sc1 Sb1 W2'
_cell_length_a 3.462
_cell_length_b 3.462
_cell_length_c 6.151
_cell_angle_alpha 90.00
_cell_angle_beta 90.00
_cell_angle_gamma 90.00
_space_group_name_H-M_alt 'P 1'
_space_group_IT_number 1
loop_
_space_group_symop_operation_xyz
'x,y,z'
loop_
_atom_site_label
_atom_site_type_symbol
_atom_site_fract_x
_atom_site_fract_y
_atom_site_fract_z
Sc1 Sc 0.000 0.000 0.000
Sb1 Sb 0.500 0.500 0.731
W1 W 0.000 0.000 0.480
W2 W 0.500 0.500 0.253
```

Calculated values
- SG: P4mm (99)
- Magnetization: 0.00 Bohr magnetons per cell
- Energy: -8.9501 eV per atom
- Uncorrected formation energy: 0.140 eV/atom
- Crystal system: tetragonal
- Calculated volume: 73.7 Å³/cell

An optimized crystal structure of Sc2SbW. Source: Alexandria via LeMat-Bulk, functional PBE-GGA.

Geometry as CIF:
```
data_Sc2SbW
_chemical_formula_sum 'Sc2 Sb1 W1'
_cell_length_a 10.374
_cell_length_b 10.374
_cell_length_c 10.374
_cell_angle_alpha 17.87
_cell_angle_beta 17.87
_cell_angle_gamma 17.87
_space_group_name_H-M_alt 'P 1'
_space_group_IT_number 1
loop_
_space_group_symop_operation_xyz
'x,y,z'
loop_
_atom_site_label
_atom_site_type_symbol
_atom_site_fract_x
_atom_site_fract_y
_atom_site_fract_z
Sc1 Sc 0.096 0.096 0.096
Sc2 Sc 0.904 0.904 0.904
Sb1 Sb 0.000 0.000 0.000
W1 W 0.500 0.500 0.500
```

Calculated values
- SG: R-3m (166)
- Magnetization: 0.05 Bohr magnetons per cell
- Energy: -7.1065 eV per atom
- Uncorrected formation energy: 0.328 eV/atom
- Crystal system: trigonal
- Calculated volume: 91.8 Å³/cell

An optimized crystal structure of Sc2SbW. Source: Alexandria via LeMat-Bulk, functional PBE-GGA.

Geometry as CIF:
```
data_Sc2SbW
_chemical_formula_sum 'Sc2 Sb1 W1'
_cell_length_a 3.598
_cell_length_b 3.598
_cell_length_c 6.213
_cell_angle_alpha 90.00
_cell_angle_beta 90.00
_cell_angle_gamma 90.00
_space_group_name_H-M_alt 'P 1'
_space_group_IT_number 1
loop_
_space_group_symop_operation_xyz
'x,y,z'
loop_
_atom_site_label
_atom_site_type_symbol
_atom_site_fract_x
_atom_site_fract_y
_atom_site_fract_z
Sc1 Sc 0.000 0.000 0.237
Sc2 Sc 0.000 0.000 0.763
Sb1 Sb 0.500 0.500 0.500
W1 W 0.500 0.500 0.000
```

Calculated values
- SG: P4/mmm (123)
- Magnetization: 0.00 Bohr magnetons per cell
- Energy: -7.6498 eV per atom
- Uncorrected formation energy: -0.215 eV/atom
- Crystal system: tetragonal
- Calculated volume: 80.5 Å³/cell

An optimized crystal structure of Sc2SbW. Source: Alexandria via LeMat-Bulk, functional PBE-GGA.

Geometry as CIF:
```
data_Sc2SbW
_chemical_formula_sum 'Sc2 Sb1 W1'
_cell_length_a 5.321
_cell_length_b 5.321
_cell_length_c 4.588
_cell_angle_alpha 115.45
_cell_angle_beta 115.45
_cell_angle_gamma 43.63
_space_group_name_H-M_alt 'P 1'
_space_group_IT_number 1
loop_
_space_group_symop_operation_xyz
'x,y,z'
loop_
_atom_site_label
_atom_site_type_symbol
_atom_site_fract_x
_atom_site_fract_y
_atom_site_fract_z
Sc1 Sc 0.240 0.240 0.240
Sc2 Sc 0.760 0.760 0.760
Sb1 Sb 0.000 0.000 0.500
W1 W 0.500 0.500 0.000
```

Calculated values
- SG: C2/m (12)
- Magnetization: 0.00 Bohr magnetons per cell
- Energy: -7.4833 eV per atom
- Uncorrected formation energy: -0.049 eV/atom
- Crystal system: monoclinic
- Calculated volume: 79.5 Å³/cell

An optimized crystal structure of YSc3Sb3. Source: Alexandria via LeMat-Bulk, functional PBE-GGA.

Geometry as CIF:
```
data_YSc3Sb3
_chemical_formula_sum 'Y2 Sc6 Sb6'
_cell_length_a 7.717
_cell_length_b 7.717
_cell_length_c 7.717
_cell_angle_alpha 68.06
_cell_angle_beta 68.06
_cell_angle_gamma 68.06
_space_group_name_H-M_alt 'P 1'
_space_group_IT_number 1
loop_
_space_group_symop_operation_xyz
'x,y,z'
loop_
_atom_site_label
_atom_site_type_symbol
_atom_site_fract_x
_atom_site_fract_y
_atom_site_fract_z
Y1 Y 0.165 0.165 0.165
Y2 Y 0.835 0.835 0.835
Sc1 Sc 0.155 0.419 0.684
Sc2 Sc 0.316 0.845 0.581
Sc3 Sc 0.419 0.684 0.155
Sc4 Sc 0.581 0.316 0.845
Sc5 Sc 0.684 0.155 0.419
Sc6 Sc 0.845 0.581 0.316
Sb1 Sb 0.032 0.792 0.417
Sb2 Sb 0.208 0.583 0.968
Sb3 Sb 0.417 0.032 0.792
Sb4 Sb 0.583 0.968 0.208
Sb5 Sb 0.792 0.417 0.032
Sb6 Sb 0.968 0.208 0.583
```

Calculated values
- SG: R-3 (148)
- Magnetization: 0.00 Bohr magnetons per cell
- Energy: -6.2060 eV per atom
- Uncorrected formation energy: -0.802 eV/atom
- Crystal system: trigonal
- Calculated volume: 380.5 Å³/cell

An optimized crystal structure of YSc2Sb. Source: Alexandria via LeMat-Bulk, functional PBE-GGA.

Geometry as CIF:
```
data_YSc2Sb
_chemical_formula_sum 'Y1 Sc2 Sb1'
_cell_length_a 10.281
_cell_length_b 10.281
_cell_length_c 10.281
_cell_angle_alpha 19.56
_cell_angle_beta 19.56
_cell_angle_gamma 19.56
_space_group_name_H-M_alt 'P 1'
_space_group_IT_number 1
loop_
_space_group_symop_operation_xyz
'x,y,z'
loop_
_atom_site_label
_atom_site_type_symbol
_atom_site_fract_x
_atom_site_fract_y
_atom_site_fract_z
Y1 Y 0.000 0.000 0.000
Sc1 Sc 0.243 0.243 0.243
Sc2 Sc 0.492 0.492 0.492
Sb1 Sb 0.749 0.749 0.749
```

Calculated values
- SG: R3m (160)
- Magnetization: 0.04 Bohr magnetons per cell
- Energy: -6.0347 eV per atom
- Uncorrected formation energy: -0.222 eV/atom
- Crystal system: trigonal
- Calculated volume: 106.5 Å³/cell

An optimized crystal structure of YSc2Sb. Source: Alexandria via LeMat-Bulk, functional PBE-GGA.

Geometry as CIF:
```
data_YSc2Sb
_chemical_formula_sum 'Y1 Sc2 Sb1'
_cell_length_a 4.543
_cell_length_b 6.166
_cell_length_c 6.166
_cell_angle_alpha 37.39
_cell_angle_beta 90.00
_cell_angle_gamma 90.00
_space_group_name_H-M_alt 'P 1'
_space_group_IT_number 1
loop_
_space_group_symop_operation_xyz
'x,y,z'
loop_
_atom_site_label
_atom_site_type_symbol
_atom_site_fract_x
_atom_site_fract_y
_atom_site_fract_z
Y1 Y 0.000 0.000 0.000
Sc1 Sc 0.000 0.729 0.729
Sc2 Sc 0.500 0.301 0.301
Sb1 Sb 0.500 0.580 0.580
```

Calculated values
- SG: Amm2 (38)
- Magnetization: 0.01 Bohr magnetons per cell
- Energy: -6.2738 eV per atom
- Uncorrected formation energy: -0.461 eV/atom
- Crystal system: orthorhombic
- Calculated volume: 104.9 Å³/cell

An optimized crystal structure of YSc3Sb. Source: Alexandria via LeMat-Bulk, functional PBE-GGA.

Geometry as CIF:
```
data_YSc3Sb
_chemical_formula_sum 'Y1 Sc3 Sb1'
_cell_length_a 5.229
_cell_length_b 5.229
_cell_length_c 5.229
_cell_angle_alpha 90.00
_cell_angle_beta 90.00
_cell_angle_gamma 90.00
_space_group_name_H-M_alt 'P 1'
_space_group_IT_number 1
loop_
_space_group_symop_operation_xyz
'x,y,z'
loop_
_atom_site_label
_atom_site_type_symbol
_atom_site_fract_x
_atom_site_fract_y
_atom_site_fract_z
Y1 Y 0.000 0.000 0.000
Sc1 Sc 0.000 0.000 0.500
Sc2 Sc 0.000 0.500 0.000
Sc3 Sc 0.500 0.000 0.000
Sb1 Sb 0.500 0.500 0.500
```

Calculated values
- SG: Pm-3m (221)
- Magnetization: 0.00 Bohr magnetons per cell
- Energy: -5.0855 eV per atom
- Uncorrected formation energy: 0.831 eV/atom
- Crystal system: cubic
- Calculated volume: 143.0 Å³/cell

An optimized crystal structure of YScSb2. Source: Alexandria via LeMat-Bulk, functional PBE-GGA.

Geometry as CIF:
```
data_YScSb2
_chemical_formula_sum 'Y1 Sc1 Sb2'
_cell_length_a 4.533
_cell_length_b 6.155
_cell_length_c 6.155
_cell_angle_alpha 38.65
_cell_angle_beta 90.00
_cell_angle_gamma 90.00
_space_group_name_H-M_alt 'P 1'
_space_group_IT_number 1
loop_
_space_group_symop_operation_xyz
'x,y,z'
loop_
_atom_site_label
_atom_site_type_symbol
_atom_site_fract_x
_atom_site_fract_y
_atom_site_fract_z
Y1 Y 0.000 0.000 0.000
Sc1 Sc 0.500 0.758 0.758
Sb1 Sb 0.000 0.267 0.267
Sb2 Sb 0.500 0.506 0.506
```

Calculated values
- SG: Amm2 (38)
- Magnetization: 0.00 Bohr magnetons per cell
- Energy: -6.1304 eV per atom
- Uncorrected formation energy: -0.870 eV/atom
- Crystal system: orthorhombic
- Calculated volume: 107.2 Å³/cell

An optimized crystal structure of YScSb2. Source: Alexandria via LeMat-Bulk, functional PBE-GGA.

Geometry as CIF:
```
data_YScSb2
_chemical_formula_sum 'Y1 Sc1 Sb2'
_cell_length_a 5.114
_cell_length_b 5.114
_cell_length_c 3.937
_cell_angle_alpha 90.00
_cell_angle_beta 90.00
_cell_angle_gamma 100.13
_space_group_name_H-M_alt 'P 1'
_space_group_IT_number 1
loop_
_space_group_symop_operation_xyz
'x,y,z'
loop_
_atom_site_label
_atom_site_type_symbol
_atom_site_fract_x
_atom_site_fract_y
_atom_site_fract_z
Y1 Y 0.000 0.000 0.000
Sc1 Sc 0.500 0.500 0.000
Sb1 Sb 0.000 0.500 0.500
Sb2 Sb 0.500 0.000 0.500
```

Calculated values
- SG: Cmmm (65)
- Magnetization: 0.00 Bohr magnetons per cell
- Energy: -6.0019 eV per atom
- Uncorrected formation energy: -0.742 eV/atom
- Crystal system: orthorhombic
- Calculated volume: 101.4 Å³/cell

An optimized crystal structure of YScSb2. Source: Alexandria via LeMat-Bulk, functional PBE-GGA.

Geometry as CIF:
```
data_YScSb2
_chemical_formula_sum 'Y1 Sc1 Sb2'
_cell_length_a 4.259
_cell_length_b 4.259
_cell_length_c 7.235
_cell_angle_alpha 90.00
_cell_angle_beta 90.00
_cell_angle_gamma 120.00
_space_group_name_H-M_alt 'P 1'
_space_group_IT_number 1
loop_
_space_group_symop_operation_xyz
'x,y,z'
loop_
_atom_site_label
_atom_site_type_symbol
_atom_site_fract_x
_atom_site_fract_y
_atom_site_fract_z
Y1 Y 0.000 0.000 0.000
Sc1 Sc 0.000 0.000 0.500
Sb1 Sb 0.333 0.667 0.735
Sb2 Sb 0.667 0.333 0.265
```

Calculated values
- SG: P-3m1 (164)
- Magnetization: 0.00 Bohr magnetons per cell
- Energy: -6.2693 eV per atom
- Uncorrected formation energy: -1.009 eV/atom
- Crystal system: trigonal
- Calculated volume: 113.7 Å³/cell